Compound: FePtRhW
Source: the Alexandria database
Functional: PBE
Structure: relaxed

Cell lengths 3.847, 3.847, 4.730 Å; angles 113.98, 113.99, 90.01 degrees
Each line ends with the local moment (μB).
Fractional positions:
W: 0.750 0.250 0.500  -0.29
Fe: 0.250 0.750 0.500  2.52
Pt: 0.000 0.000 0.000  0.07
Rh: 0.500 0.500 0.000  0.17

Formation energy from the elements   -228.4 meV per atom
Density   15.59 g/cm3

=====

Compound: FeRuPt6
Source: the Alexandria database
Functional: PBE
Structure: relaxed

Cell lengths 3.912, 4.828, 7.323 Å; angles 76.74, 74.51, 66.10 degrees
Each line ends with the local moment (μB).
Fractional positions:
Pt: 0.250 0.377 0.124  0.12
Pt: 0.500 0.247 0.752  0.02
Pt: 0.750 0.623 0.876  0.12
Pt: 0.751 0.124 0.373  0.06
Pt: 0.500 0.753 0.248  0.02
Pt: 0.249 0.876 0.627  0.06
Ru: 0.000 0.500 0.500  -0.42
Fe: 0.000 0.000 0.000  3.15

Formation energy from the elements   -89.9 meV per atom
Density   18.26 g/cm3

=====

Compound: FeRuPt4
Source: the Alexandria database
Functional: PBE
Structure: relaxed

Cell lengths 5.199, 5.199, 5.199 Å; angles 60.00, 60.00, 60.00 degrees
Each line ends with the local moment (μB).
Fractional positions:
Fe: 0.000 0.000 0.000  3.27
Pt: 0.375 0.875 0.375  0.14
Pt: 0.375 0.375 0.375  0.14
Pt: 0.375 0.375 0.875  0.14
Pt: 0.875 0.375 0.375  0.14
Ru: 0.750 0.750 0.750  2.07

Formation energy from the elements   357.4 meV per atom
Density   15.66 g/cm3

=====

Compound: Fe2RuPt5
Source: the Alexandria database
Functional: PBE
Structure: relaxed

Cell lengths 4.627, 5.436, 9.651 Å; angles 90.00, 90.00, 90.00 degrees
Each line ends with the local moment (μB).
Fractional positions:
Pt: 0.500 0.113 0.631  0.29
Pt: 0.500 0.387 0.131  0.29
Pt: 0.500 0.887 0.369  0.29
Pt: 0.000 0.000 0.000  0.28
Pt: 0.000 0.227 0.254  0.20
Pt: 0.500 0.613 0.869  0.29
Pt: 0.000 0.273 0.754  0.20
Pt: 0.000 0.727 0.246  0.20
Pt: 0.000 0.773 0.746  0.20
Pt: 0.000 0.500 0.500  0.28
Fe: 0.500 0.140 0.895  3.16
Fe: 0.500 0.860 0.105  3.16
Fe: 0.500 0.360 0.395  3.16
Fe: 0.500 0.640 0.605  3.16
Ru: 0.000 0.500 0.000  0.59
Ru: 0.000 0.000 0.500  0.59

Formation energy from the elements   29.5 meV per atom
Density   16.26 g/cm3

=====

Compound: FeRuPt3
Source: the Alexandria database
Functional: PBE
Structure: relaxed

Cell lengths 4.476, 4.476, 4.476 Å; angles 90.00, 90.00, 90.00 degrees
Fractional positions:
Pt: 0.500 0.000 0.000
Pt: 0.000 0.000 0.500
Pt: 0.000 0.500 0.000
Fe: 0.000 0.000 0.000
Ru: 0.500 0.500 0.500

Formation energy from the elements   1414.2 meV per atom
Energy above the lowest structure with this stoichiometry   0.000 eV/atom
Density   13.74 g/cm3

=====

Compound: Fe4RuPt
Source: the Alexandria database
Functional: PBE
Structure: relaxed

Cell lengths 4.724, 4.724, 4.724 Å; angles 60.00, 60.00, 60.00 degrees
Each line ends with the local moment (μB).
Fractional positions:
Fe: 0.625 0.625 0.124  2.03
Fe: 0.625 0.625 0.625  2.03
Fe: 0.124 0.625 0.625  2.03
Fe: 0.625 0.124 0.625  2.03
Pt: 0.250 0.250 0.250  0.25
Ru: 0.000 0.000 0.000  0.10

Formation energy from the elements   50.2 meV per atom
Density   11.57 g/cm3

=====

Compound: Fe3RuPt12
Source: the Alexandria database
Functional: PBE
Structure: relaxed

Cell lengths 3.930, 3.930, 15.586 Å; angles 90.00, 90.00, 90.00 degrees
Each line ends with the local moment (μB).
Fractional positions:
Pt: 0.000 0.500 0.376  0.00
Pt: 0.500 0.500 0.000  -0.02
Pt: 0.500 0.000 0.128  -0.08
Pt: 0.000 0.500 0.872  -0.08
Pt: 0.500 0.500 0.500  0.17
Pt: 0.500 0.000 0.624  0.00
Pt: 0.500 0.500 0.748  -0.19
Pt: 0.500 0.000 0.376  0.00
Pt: 0.500 0.000 0.872  -0.08
Pt: 0.000 0.500 0.624  0.00
Pt: 0.500 0.500 0.252  -0.19
Pt: 0.000 0.500 0.128  -0.08
Fe: 0.000 0.000 0.748  -3.28
Fe: 0.000 0.000 0.500  3.33
Fe: 0.000 0.000 0.252  -3.28
Ru: 0.000 0.000 0.000  1.14

Formation energy from the elements   -157.0 meV per atom
Density   18.00 g/cm3

=====

Compound: Fe2Ru2Pt
Source: the Alexandria database
Functional: PBE
Structure: relaxed

Cell lengths 7.090, 7.090, 2.736 Å; angles 90.00, 90.00, 90.00 degrees
Each line ends with the local moment (μB).
Fractional positions:
Ru: 0.128 0.372 0.000  -0.15
Ru: 0.872 0.628 0.000  -0.15
Ru: 0.372 0.872 0.000  -0.13
Ru: 0.628 0.128 0.000  -0.13
Fe: 0.168 0.668 0.500  2.09
Fe: 0.668 0.832 0.500  2.08
Fe: 0.332 0.168 0.500  2.08
Fe: 0.832 0.332 0.500  2.09
Pt: 0.500 0.500 0.000  0.05
Pt: 0.000 0.000 0.000  0.05

Formation energy from the elements   238.1 meV per atom
Energy above the lowest structure with this stoichiometry   0.060 eV/atom
Density   12.29 g/cm3

=====

Compound: FeRu3Pt
Source: the Alexandria database
Functional: PBE
Structure: relaxed

Cell lengths 4.347, 4.347, 4.347 Å; angles 90.00, 90.00, 90.00 degrees
Each line ends with the local moment (μB).
Fractional positions:
Ru: 0.000 0.000 0.500  0.59
Ru: 0.000 0.500 0.000  0.65
Ru: 0.500 0.000 0.000  0.58
Pt: 0.500 0.500 0.500  0.15
Fe: 0.000 0.000 0.000  -0.22

Formation energy from the elements   1336.8 meV per atom
Energy above the lowest structure with this stoichiometry   0.000 eV/atom
Density   11.20 g/cm3

=====

Compound: FeRu4Pt
Source: the Alexandria database
Functional: PBE
Structure: relaxed

Cell lengths 5.055, 5.055, 5.055 Å; angles 60.00, 60.00, 60.00 degrees
Each line ends with the local moment (μB).
Fractional positions:
Ru: 0.375 0.876 0.375  0.58
Ru: 0.375 0.375 0.876  0.58
Ru: 0.375 0.375 0.375  0.58
Ru: 0.876 0.375 0.375  0.58
Pt: 0.000 0.000 0.000  0.14
Fe: 0.750 0.750 0.750  3.15

Formation energy from the elements   568.8 meV per atom
Density   11.92 g/cm3

=====

Compound: Fe3Ru5Pt12
Source: the Alexandria database
Functional: PBE
Structure: relaxed

Cell lengths 12.617, 12.617, 12.617 Å; angles 109.47, 109.47, 109.47 degrees
Each line ends with the local moment (μB).
Fractional positions:
Pt: 0.936 0.575 0.167  0.23
Pt: 0.925 0.833 0.564  0.23
Pt: 0.333 0.770 0.409  0.23
Pt: 0.575 0.936 0.667  0.23
Pt: 0.167 0.075 0.936  0.23
Pt: 0.925 0.091 0.861  0.23
Pt: 0.591 0.730 0.667  0.23
Pt: 0.436 0.667 0.075  0.23
Pt: 0.833 0.925 0.064  0.23
Pt: 0.639 0.064 0.230  0.23
Pt: 0.230 0.667 0.091  0.23
Pt: 0.564 0.333 0.925  0.23
Pt: 0.091 0.167 0.230  0.23
Pt: 0.230 0.564 0.639  0.23
Pt: 0.064 0.425 0.833  0.23
Pt: 0.909 0.075 0.639  0.23
Pt: 0.425 0.064 0.333  0.23
Pt: 0.667 0.436 0.575  0.23
Pt: 0.770 0.436 0.361  0.23
Pt: 0.075 0.909 0.139  0.23
Pt: 0.575 0.639 0.409  0.23
Pt: 0.409 0.139 0.575  0.23
Pt: 0.667 0.230 0.591  0.23
Pt: 0.064 0.639 0.730  0.23
Pt: 0.770 0.333 0.909  0.23
Pt: 0.639 0.575 0.909  0.23
Pt: 0.075 0.167 0.436  0.23
Pt: 0.436 0.770 0.861  0.23
Pt: 0.730 0.139 0.064  0.23
Pt: 0.091 0.925 0.361  0.23
Pt: 0.361 0.425 0.091  0.23
Pt: 0.425 0.361 0.591  0.23
Pt: 0.361 0.936 0.770  0.23
Pt: 0.270 0.409 0.833  0.23
Pt: 0.167 0.091 0.730  0.23
Pt: 0.270 0.861 0.936  0.23
Pt: 0.333 0.564 0.425  0.23
Pt: 0.833 0.909 0.270  0.23
Pt: 0.861 0.591 0.925  0.23
Pt: 0.909 0.833 0.770  0.23
Pt: 0.861 0.270 0.436  0.23
Pt: 0.591 0.861 0.425  0.23
Pt: 0.730 0.591 0.167  0.23
Pt: 0.409 0.270 0.333  0.23
Pt: 0.936 0.361 0.270  0.23
Pt: 0.564 0.230 0.139  0.23
Pt: 0.139 0.409 0.075  0.23
Pt: 0.139 0.730 0.564  0.23
Fe: 0.750 0.375 0.125  3.21
Fe: 0.375 0.625 0.250  3.21
Fe: 0.250 0.625 0.875  3.21
Fe: 0.125 0.875 0.750  3.21
Fe: 0.125 0.250 0.875  3.21
Fe: 0.875 0.125 0.250  3.21
Fe: 0.375 0.750 0.625  3.21
Fe: 0.750 0.875 0.625  3.21
Fe: 0.875 0.750 0.125  3.21
Fe: 0.250 0.125 0.375  3.21
Fe: 0.625 0.250 0.375  3.21
Fe: 0.625 0.375 0.750  3.21
Ru: 0.000 0.000 0.500  1.03
Ru: 0.500 0.000 0.500  1.03
Ru: 0.625 0.750 0.875  0.32
Ru: 0.125 0.375 0.250  0.32
Ru: 0.375 0.125 0.750  0.32
Ru: 0.125 0.750 0.375  0.32
Ru: 0.250 0.875 0.125  0.32
Ru: 0.375 0.250 0.125  0.32
Ru: 0.250 0.375 0.625  0.32
Ru: 0.500 0.500 0.500  1.03
Ru: 0.000 0.500 0.500  1.03
Ru: 0.000 0.000 0.000  1.03
Ru: 0.000 0.500 0.000  1.03
Ru: 0.750 0.625 0.375  0.32
Ru: 0.500 0.000 0.000  1.03
Ru: 0.875 0.625 0.750  0.32
Ru: 0.750 0.125 0.875  0.32
Ru: 0.875 0.250 0.625  0.32
Ru: 0.625 0.875 0.250  0.32
Ru: 0.500 0.500 0.000  1.03

Formation energy from the elements   686.6 meV per atom
Density   12.95 g/cm3

=====

Compound: Fe2Ru2Pt
Source: the Alexandria database
Functional: PBE
Structure: relaxed

Cell lengths 7.006, 7.006, 2.671 Å; angles 90.00, 90.00, 90.00 degrees
Fractional positions:
Pt: 0.000 0.000 0.000
Pt: 0.500 0.500 0.000
Ru: 0.173 0.673 0.500
Ru: 0.673 0.827 0.500
Ru: 0.827 0.327 0.500
Ru: 0.327 0.173 0.500
Fe: 0.620 0.120 0.000
Fe: 0.120 0.380 0.000
Fe: 0.880 0.620 0.000
Fe: 0.380 0.880 0.000

Formation energy from the elements   178.1 meV per atom
Energy above the lowest structure with this stoichiometry   0.000 eV/atom
Density   12.89 g/cm3